[1]
Density functional theory data (PBE-GGA) for an optimized crystal structure of Y2GaHg4.

## Properties
Space group ... R-3m (166)
Calculated density ... 10.3 g/cm³
Total moment ... 0.00 μB per cell

```
7
Lattice="4.9356 0.0012 1.5418 2.2280 4.4042 1.5418 0.2406 0.1479 7.8987" Properties=species:S:1:pos:R:3 pbc="T T T"
Y 5.3512 3.2908 8.8775
Y 2.0529 1.2625 2.1048
Hg 6.2888 3.8674 5.8835
Hg 1.1153 0.6859 5.0988
Hg 4.1795 2.5702 3.9693
Hg 3.2247 1.9831 7.0130
Ga 0.0000 0.0000 0.0000
```

***

[2]
Density functional theory data (PBE-GGA) for an optimized crystal structure of Y5Ga2Hg2.

## Properties
Space group ... Cmce (64)
Calculated density ... 6.9 g/cm³
Total moment ... 0.00 μB per cell

```
18
Lattice="7.2169 0.0000 2.6197 0.0000 7.6299 0.0000 0.8481 0.0000 8.9142" Properties=species:S:1:pos:R:3 pbc="T T T"
Y 0.0000 0.0000 0.0000
Y 3.6085 3.8149 1.3098
Y 3.8609 1.3348 7.7377
Y 6.5084 6.2950 8.6988
Y 2.9000 5.1498 7.3889
Y 7.4694 2.4801 9.0476
Y 4.2041 6.2950 3.7962
Y 1.5566 1.3348 2.8352
Y 5.1650 2.4801 4.1450
Y 0.5956 5.1498 2.4863
Ga 0.8640 2.8957 0.3136
Ga 6.3529 4.7341 2.3061
Ga 2.7444 6.7107 0.9962
Ga 4.4725 0.9192 1.6235
Hg 2.0424 0.0000 5.6240
Hg 5.6509 3.8149 6.9339
Hg 6.0226 0.0000 5.9099
Hg 2.4141 3.8149 4.6001
```

***

| no. | formation energy (meV per atom) |
| --- | --- |
| 1 | -329 |
| 2 | -539 |